No. 1
{
  "formula": "SrReTe2",
  "functional": "PBE-GGA",
  "state": "relaxed",
  "final_energy_ev_per_atom": -5.089,
  "space_group": "No. 38",
  "e_form_raw_ev_per_atom": 0.0146,
  "e_above_lowest_polymorph_mev_per_atom": 272,
  "m_tot_mub_per_fu": 0.00,
  "lattice": [[4.320, 0.000, 0.000], [0.000, 5.001, 0.000], [0.000, 0.000, 12.141]],
  "species": ["Sr", "Sr", "Re", "Re", "Te", "Te", "Te", "Te"],
  "frac_coords": [[0.000, 0.000, 0.000], [0.000, 0.500, 0.500], [0.500, 0.000, 0.585], [0.500, 0.500, 0.085], [0.000, 0.000, 0.698], [0.000, 0.500, 0.198], [0.500, 0.000, 0.377], [0.500, 0.500, 0.877]]
}

***

No. 2
{
  "formula": "SrReTe3",
  "functional": "PBE-GGA",
  "state": "relaxed",
  "final_energy_ev_per_atom": -4.722,
  "space_group": "No. 221",
  "e_form_raw_ev_per_atom": -0.0111,
  "e_above_lowest_polymorph_mev_per_atom": 0,
  "m_tot_mub_per_fu": 2.77,
  "lattice": [[5.425, 0.000, 0.000], [0.000, 5.425, 0.000], [0.000, 0.000, 5.425]],
  "species": ["Sr", "Re", "Te", "Te", "Te"],
  "frac_coords": [[0.000, 0.000, 0.000], [0.500, 0.500, 0.500], [0.000, 0.500, 0.500], [0.500, 0.000, 0.500], [0.500, 0.500, 0.000]]
}

***

No. 3
{
  "formula": "SrRe4Te",
  "functional": "PBE-GGA",
  "state": "relaxed",
  "final_energy_ev_per_atom": -8.406,
  "space_group": "No. 216",
  "e_form_raw_ev_per_atom": 0.6971,
  "m_tot_mub_per_fu": 0.00,
  "lattice": [[0.000, 3.855, 3.855], [3.855, 0.000, 3.855], [3.855, 3.855, 0.000]],
  "species": ["Sr", "Re", "Re", "Re", "Re", "Te"],
  "frac_coords": [[0.000, 0.000, 0.000], [0.376, 0.376, 0.376], [0.376, 0.376, 0.872], [0.376, 0.872, 0.376], [0.872, 0.376, 0.376], [0.750, 0.750, 0.750]]
}

***

No. 4
{
  "formula": "SrReTe2",
  "functional": "PBE-GGA",
  "state": "relaxed",
  "final_energy_ev_per_atom": -4.908,
  "space_group": "No. 225",
  "e_form_raw_ev_per_atom": 0.1949,
  "e_above_lowest_polymorph_mev_per_atom": 453,
  "m_tot_mub_per_fu": 0.89,
  "lattice": [[7.251, 0.000, 0.000], [0.000, 7.251, 0.000], [0.000, 0.000, 7.251]],
  "species": ["Sr", "Sr", "Sr", "Sr", "Re", "Re", "Re", "Re", "Te", "Te", "Te", "Te", "Te", "Te", "Te", "Te"],
  "frac_coords": [[0.000, 0.000, 0.000], [0.000, 0.500, 0.500], [0.500, 0.000, 0.500], [0.500, 0.500, 0.000], [0.000, 0.000, 0.500], [0.000, 0.500, 0.000], [0.500, 0.000, 0.000], [0.500, 0.500, 0.500], [0.250, 0.250, 0.250], [0.250, 0.250, 0.750], [0.250, 0.750, 0.250], [0.250, 0.750, 0.750], [0.750, 0.250, 0.250], [0.750, 0.250, 0.750], [0.750, 0.750, 0.250], [0.750, 0.750, 0.750]]
}

***

No. 5
{
  "formula": "SrReTe2",
  "functional": "PBE-GGA",
  "state": "relaxed",
  "final_energy_ev_per_atom": -5.069,
  "space_group": "No. 122",
  "e_form_raw_ev_per_atom": 0.0345,
  "e_above_lowest_polymorph_mev_per_atom": 292,
  "m_tot_mub_per_fu": 0.00,
  "lattice": [[6.680, 0.000, 0.000], [0.000, 6.680, 0.000], [0.000, 0.000, 13.115]],
  "species": ["Sr", "Sr", "Sr", "Sr", "Re", "Re", "Re", "Re", "Te", "Te", "Te", "Te", "Te", "Te", "Te", "Te"],
  "frac_coords": [[0.000, 0.000, 0.000], [0.000, 0.500, 0.250], [0.500, 0.000, 0.750], [0.500, 0.500, 0.500], [0.000, 0.000, 0.500], [0.000, 0.500, 0.750], [0.500, 0.000, 0.250], [0.500, 0.500, 0.000], [0.166, 0.250, 0.625], [0.250, 0.666, 0.875], [0.250, 0.834, 0.375], [0.334, 0.250, 0.125], [0.666, 0.750, 0.125], [0.750, 0.166, 0.375], [0.750, 0.334, 0.875], [0.834, 0.750, 0.625]]
}

***

No. 6
{
  "formula": "SrReTe2",
  "functional": "PBE-GGA",
  "state": "relaxed",
  "final_energy_ev_per_atom": -4.948,
  "space_group": "No. 25",
  "e_form_raw_ev_per_atom": 0.1552,
  "e_above_lowest_polymorph_mev_per_atom": 413,
  "m_tot_mub_per_fu": 0.00,
  "lattice": [[3.440, 0.000, 0.000], [0.000, 4.256, 0.000], [0.000, 0.000, 7.110]],
  "species": ["Sr", "Re", "Te", "Te"],
  "frac_coords": [[0.000, 0.000, 0.000], [0.500, 0.500, 0.641], [0.000, 0.000, 0.549], [0.500, 0.500, 0.252]]
}

***

No. 7
{
  "formula": "SrReTe2",
  "functional": "PBE-GGA",
  "state": "relaxed",
  "final_energy_ev_per_atom": -4.948,
  "space_group": "No. 166",
  "e_form_raw_ev_per_atom": 0.1550,
  "e_above_lowest_polymorph_mev_per_atom": 413,
  "m_tot_mub_per_fu": 1.22,
  "lattice": [[4.004, 0.000, 0.000], [-2.002, 3.467, 0.000], [0.000, 0.000, 28.916]],
  "species": ["Sr", "Sr", "Sr", "Re", "Re", "Re", "Te", "Te", "Te", "Te", "Te", "Te"],
  "frac_coords": [[0.000, 0.000, 0.000], [0.333, 0.667, 0.667], [0.667, 0.333, 0.333], [0.000, 0.000, 0.500], [0.333, 0.667, 0.167], [0.667, 0.333, 0.833], [0.000, 0.000, 0.115], [0.000, 0.000, 0.885], [0.333, 0.667, 0.552], [0.333, 0.667, 0.782], [0.667, 0.333, 0.218], [0.667, 0.333, 0.448]]
}

***

No. 8
{
  "formula": "SrReTe2",
  "functional": "PBE-GGA",
  "state": "relaxed",
  "final_energy_ev_per_atom": -4.320,
  "space_group": "No. 216",
  "e_form_raw_ev_per_atom": 0.7838,
  "e_above_lowest_polymorph_mev_per_atom": 1042,
  "m_tot_mub_per_fu": 3.74,
  "lattice": [[7.610, 0.000, 0.000], [0.000, 7.610, 0.000], [0.000, 0.000, 7.610]],
  "species": ["Sr", "Sr", "Sr", "Sr", "Re", "Re", "Re", "Re", "Te", "Te", "Te", "Te", "Te", "Te", "Te", "Te"],
  "frac_coords": [[0.000, 0.000, 0.000], [0.000, 0.500, 0.500], [0.500, 0.000, 0.500], [0.500, 0.500, 0.000], [0.250, 0.250, 0.750], [0.250, 0.750, 0.250], [0.750, 0.250, 0.250], [0.750, 0.750, 0.750], [0.000, 0.000, 0.500], [0.000, 0.500, 0.000], [0.250, 0.250, 0.250], [0.250, 0.750, 0.750], [0.500, 0.000, 0.000], [0.500, 0.500, 0.500], [0.750, 0.250, 0.750], [0.750, 0.750, 0.250]]
}

***

No. 9
{
  "formula": "Sr2ReTe2",
  "functional": "PBE-GGA",
  "state": "relaxed",
  "final_energy_ev_per_atom": -3.958,
  "space_group": "No. 139",
  "e_form_raw_ev_per_atom": 0.4606,
  "e_above_lowest_polymorph_mev_per_atom": 358,
  "m_tot_mub_per_fu": 2.85,
  "lattice": [[4.346, 0.000, 0.000], [0.000, 4.346, 0.000], [0.000, 0.000, 18.261]],
  "species": ["Sr", "Sr", "Sr", "Sr", "Re", "Re", "Te", "Te", "Te", "Te"],
  "frac_coords": [[0.000, 0.000, 0.101], [0.000, 0.000, 0.899], [0.500, 0.500, 0.399], [0.500, 0.500, 0.601], [0.000, 0.000, 0.500], [0.500, 0.500, 0.000], [0.000, 0.500, 0.250], [0.000, 0.500, 0.750], [0.500, 0.000, 0.250], [0.500, 0.000, 0.750]]
}

***

No. 10
{
  "formula": "SrReTe2",
  "functional": "PBE-GGA",
  "state": "relaxed",
  "final_energy_ev_per_atom": -5.064,
  "space_group": "No. 99",
  "e_form_raw_ev_per_atom": 0.0394,
  "e_above_lowest_polymorph_mev_per_atom": 297,
  "m_tot_mub_per_fu": 0.00,
  "lattice": [[3.400, 0.000, 0.000], [0.000, 3.400, 0.000], [0.000, 0.000, 9.708]],
  "species": ["Sr", "Re", "Te", "Te"],
  "frac_coords": [[0.000, 0.000, 0.000], [0.500, 0.500, 0.759], [0.000, 0.000, 0.631], [0.500, 0.500, 0.259]]
}

***

No. 11
{
  "formula": "SrReTe2",
  "functional": "PBE-GGA",
  "state": "relaxed",
  "final_energy_ev_per_atom": -5.153,
  "space_group": "No. 71",
  "e_form_raw_ev_per_atom": -0.0497,
  "e_above_lowest_polymorph_mev_per_atom": 208,
  "m_tot_mub_per_fu": 0.64,
  "lattice": [[4.079, 0.000, 0.000], [0.000, 6.182, 0.000], [0.000, 0.000, 9.056]],
  "species": ["Sr", "Sr", "Re", "Re", "Te", "Te", "Te", "Te"],
  "frac_coords": [[0.000, 0.000, 0.000], [0.500, 0.500, 0.500], [0.000, 0.000, 0.500], [0.500, 0.500, 0.000], [0.000, 0.500, 0.189], [0.000, 0.500, 0.811], [0.500, 0.000, 0.311], [0.500, 0.000, 0.689]]
}

***

No. 12
{
  "formula": "SrReTe2",
  "functional": "PBE-GGA",
  "state": "relaxed",
  "final_energy_ev_per_atom": -4.778,
  "space_group": "No. 160",
  "e_form_raw_ev_per_atom": 0.3258,
  "e_above_lowest_polymorph_mev_per_atom": 584,
  "m_tot_mub_per_fu": 0.59,
  "lattice": [[3.557, 0.000, 0.000], [-1.778, 3.080, 0.000], [0.000, 0.000, 30.986]],
  "species": ["Sr", "Sr", "Sr", "Re", "Re", "Re", "Te", "Te", "Te", "Te", "Te", "Te"],
  "frac_coords": [[0.000, 0.000, 0.000], [0.333, 0.667, 0.667], [0.667, 0.333, 0.333], [0.000, 0.000, 0.749], [0.333, 0.667, 0.416], [0.667, 0.333, 0.083], [0.000, 0.000, 0.248], [0.000, 0.000, 0.470], [0.333, 0.667, 0.137], [0.333, 0.667, 0.915], [0.667, 0.333, 0.581], [0.667, 0.333, 0.803]]
}

***

No. 13
{
  "formula": "SrReTe2",
  "functional": "PBE-GGA",
  "state": "relaxed",
  "final_energy_ev_per_atom": -5.117,
  "space_group": "No. 8",
  "e_form_raw_ev_per_atom": -0.0133,
  "e_above_lowest_polymorph_mev_per_atom": 245,
  "m_tot_mub_per_fu": 0.73,
  "lattice": [[12.644, 0.000, 0.000], [0.000, 3.573, 0.000], [-2.493, 0.000, 5.108]],
  "species": ["Sr", "Sr", "Re", "Re", "Te", "Te", "Te", "Te"],
  "frac_coords": [[0.000, 0.000, 0.000], [0.500, 0.500, 0.000], [0.243, 0.500, 0.088], [0.743, 0.000, 0.088], [0.195, 0.000, 0.711], [0.404, 0.000, 0.397], [0.695, 0.500, 0.711], [0.904, 0.500, 0.397]]
}

***

No. 14
{
  "formula": "SrReTe2",
  "functional": "PBE-GGA",
  "state": "relaxed",
  "final_energy_ev_per_atom": -5.067,
  "space_group": "No. 10",
  "e_form_raw_ev_per_atom": 0.0359,
  "e_above_lowest_polymorph_mev_per_atom": 294,
  "m_tot_mub_per_fu": 0.00,
  "lattice": [[4.147, 0.000, 0.000], [0.000, 4.281, 0.000], [-0.939, 0.000, 6.297]],
  "species": ["Sr", "Re", "Te", "Te"],
  "frac_coords": [[0.000, 0.000, 0.000], [0.500, 0.000, 0.500], [0.372, 0.500, 0.725], [0.628, 0.500, 0.275]]
}

***

No. 15
{
  "formula": "SrReTe4",
  "functional": "PBE-GGA",
  "state": "relaxed",
  "final_energy_ev_per_atom": -3.701,
  "space_group": "No. 216",
  "e_form_raw_ev_per_atom": 0.7484,
  "m_tot_mub_per_fu": 4.93,
  "lattice": [[0.000, 4.543, 4.543], [4.543, 0.000, 4.543], [4.543, 4.543, 0.000]],
  "species": ["Sr", "Re", "Te", "Te", "Te", "Te"],
  "frac_coords": [[0.000, 0.000, 0.000], [0.250, 0.250, 0.250], [0.126, 0.625, 0.625], [0.625, 0.126, 0.625], [0.625, 0.625, 0.126], [0.625, 0.625, 0.625]]
}

***

No. 16
{
  "formula": "SrRe3Te",
  "functional": "PBE-GGA",
  "state": "relaxed",
  "final_energy_ev_per_atom": -4.797,
  "space_group": "No. 221",
  "e_form_raw_ev_per_atom": 3.6368,
  "e_above_lowest_polymorph_mev_per_atom": 1715,
  "m_tot_mub_per_fu": 2.18,
  "lattice": [[4.879, 0.000, 0.000], [0.000, 4.879, 0.000], [0.000, 0.000, 4.879]],
  "species": ["Sr", "Re", "Re", "Re", "Te"],
  "frac_coords": [[0.000, 0.000, 0.000], [0.000, 0.000, 0.500], [0.000, 0.500, 0.000], [0.500, 0.000, 0.000], [0.500, 0.500, 0.500]]
}

***

No. 17
{
  "formula": "SrReTe2",
  "functional": "PBE-GGA",
  "state": "relaxed",
  "final_energy_ev_per_atom": -4.907,
  "space_group": "No. 123",
  "e_form_raw_ev_per_atom": 0.1961,
  "e_above_lowest_polymorph_mev_per_atom": 454,
  "m_tot_mub_per_fu": 0.00,
  "lattice": [[3.484, 0.000, 0.000], [0.000, 3.484, 0.000], [0.000, 0.000, 7.929]],
  "species": ["Sr", "Re", "Te", "Te"],
  "frac_coords": [[0.000, 0.000, 0.000], [0.000, 0.000, 0.500], [0.500, 0.500, 0.297], [0.500, 0.500, 0.703]]
}

***

No. 18
{
  "formula": "SrReTe2",
  "functional": "PBE-GGA",
  "state": "relaxed",
  "final_energy_ev_per_atom": -5.121,
  "space_group": "No. 44",
  "e_form_raw_ev_per_atom": -0.0177,
  "e_above_lowest_polymorph_mev_per_atom": 240,
  "m_tot_mub_per_fu": 0.00,
  "lattice": [[3.484, 0.000, 0.000], [0.000, 4.192, 0.000], [0.000, 0.000, 14.428]],
  "species": ["Sr", "Sr", "Re", "Re", "Te", "Te", "Te", "Te"],
  "frac_coords": [[0.000, 0.000, 0.000], [0.500, 0.500, 0.500], [0.000, 0.500, 0.269], [0.500, 0.000, 0.769], [0.000, 0.000, 0.625], [0.000, 0.500, 0.830], [0.500, 0.000, 0.330], [0.500, 0.500, 0.125]]
}

***

No. 19
{
  "formula": "Sr2ReTe4",
  "functional": "PBE-GGA",
  "state": "relaxed",
  "final_energy_ev_per_atom": -4.569,
  "space_group": "No. 139",
  "e_form_raw_ev_per_atom": -0.5151,
  "m_tot_mub_per_fu": 3.04,
  "lattice": [[5.384, 0.000, 0.000], [0.000, 5.384, 0.000], [0.000, 0.000, 16.644]],
  "species": ["Sr", "Sr", "Sr", "Sr", "Re", "Re", "Te", "Te", "Te", "Te", "Te", "Te", "Te", "Te"],
  "frac_coords": [[0.000, 0.000, 0.137], [0.000, 0.000, 0.863], [0.500, 0.500, 0.363], [0.500, 0.500, 0.637], [0.000, 0.000, 0.500], [0.500, 0.500, 0.000], [0.000, 0.000, 0.333], [0.000, 0.000, 0.667], [0.000, 0.500, 0.000], [0.000, 0.500, 0.500], [0.500, 0.000, 0.000], [0.500, 0.000, 0.500], [0.500, 0.500, 0.167], [0.500, 0.500, 0.833]]
}

***

No. 20
{
  "formula": "Sr2ReTe2",
  "functional": "PBE-GGA",
  "state": "relaxed",
  "final_energy_ev_per_atom": -4.316,
  "space_group": "No. 127",
  "e_form_raw_ev_per_atom": 0.1026,
  "e_above_lowest_polymorph_mev_per_atom": 0,
  "m_tot_mub_per_fu": 4.99,
  "lattice": [[8.973, 0.000, 0.000], [0.000, 8.973, 0.000], [0.000, 0.000, 4.266]],
  "species": ["Sr", "Sr", "Sr", "Sr", "Re", "Re", "Te", "Te", "Te", "Te"],
  "frac_coords": [[0.147, 0.353, 0.000], [0.353, 0.853, 0.000], [0.647, 0.147, 0.000], [0.853, 0.647, 0.000], [0.000, 0.000, 0.000], [0.500, 0.500, 0.000], [0.158, 0.658, 0.500], [0.342, 0.158, 0.500], [0.658, 0.842, 0.500], [0.842, 0.342, 0.500]]
}